# 1
! KMgIn2 (PBEsol, optimized geometry); values from VASP
! **Formation energy from the elements**: -0.4 eV/f.u.
! **SG**: Pmmm, No. 47
! **Uncorrected energy**: -0.0844 Ha/atom
&SYSTEM
  ibrav = 0, nat = 4, ntyp = 3
/
ATOMIC_SPECIES
K 39.10 K.upf
Mg 24.30 Mg.upf
In 114.82 In.upf
CELL_PARAMETERS angstrom
3.2255 0.0000 0.0000
0.0000 4.3983 0.0000
0.0000 0.0000 8.0050
ATOMIC_POSITIONS angstrom
K 0.0000 0.0000 0.0000
Mg 0.0000 0.0000 4.0025
In 1.6128 2.1992 2.4681
In 1.6128 2.1992 5.5368

# 2
! MgSc2Tc (PBEsol, optimized geometry); values from VASP
! **Formation energy from the elements**: 0.4 eV/f.u.
! **SG**: P4mm, No. 99
! **Uncorrected energy**: -0.2369 Ha/atom
&SYSTEM
  ibrav = 0, nat = 4, ntyp = 3
/
ATOMIC_SPECIES
Mg 24.30 Mg.upf
Sc 44.96 Sc.upf
Tc 98.00 Tc.upf
CELL_PARAMETERS angstrom
3.4887 0.0000 0.0000
0.0000 3.4887 0.0000
0.0000 0.0000 6.4132
ATOMIC_POSITIONS angstrom
Mg 0.0000 0.0000 0.0000
Sc 0.0000 0.0000 3.6666
Sc 1.7444 1.7444 1.8958
Tc 1.7444 1.7444 4.7327